First-principles (GGA+U) data for MnCr2CdF8 after structural relaxation, as listed in the Alexandria database.

The uncorrected energy is -5.6707 eV per atom. Its calculated density is 4.46 Mg/m³.

The space group is P-1 (No. 2) and the conventional cell measures 4.039, 5.259 and 7.468 Å, with angles of 84.47, 89.42 and 86.18 degrees. Symmetry generates all atoms from Mn at (0.000, 0.000, 0.000), Cr at (0.495, 0.499, 0.756), Cd at (0.000, 0.000, 0.500), F at (0.100, 0.755, 0.780), F at (0.102, 0.752, 0.261), F at (0.402, 0.254, 0.975) and F at (0.422, 0.262, 0.470).